# 1
Entry from Alexandria: an optimized crystal structure of HfCClF2 (GGA-PBEsol).

a b c (Å): 3.667 3.667 5.580
angles (deg): 90.00 90.00 90.00
Space group P4/mmm (No. 123)
Symmetry-distinct sites (fractional):
Hf 0.000 0.000 0.000 (multiplicity 1)
C 0.500 0.500 0.000 (multiplicity 1)
Cl 0.000 0.000 0.500 (multiplicity 1)
F 0.000 0.500 0.500 (multiplicity 2)

Density of states at the Fermi level = 0.42 states/eV/atom
Formation energy from raw total energies = 0.55 eV per atom

---

# 2
Entry from Alexandria: an optimized crystal structure of P2CClF (GGA-PBEsol).

a b c (Å): 3.999 3.999 5.160
angles (deg): 90.00 90.00 90.00
Space group P4/mmm (No. 123)
Symmetry-distinct sites (fractional):
P 0.000 0.500 0.000 (multiplicity 2)
C 0.000 0.000 0.500 (multiplicity 1)
Cl 0.500 0.500 0.500 (multiplicity 1)
F 0.500 0.500 0.000 (multiplicity 1)

Density of states at the Fermi level = 0.76 states/eV/atom
Formation energy from raw total energies = 1.82 eV per atom

---

# 3
Entry from Alexandria: an optimized crystal structure of FeH12C4NCl4 (GGA-PBEsol).

a b c (Å): 13.834 6.386 6.295
angles (deg): 90.00 90.00 90.00
Space group Pma2 (No. 28)
Symmetry-distinct sites (fractional):
Fe 0.250 0.075 0.000 (multiplicity 2)
H 0.038 0.276 0.165 (multiplicity 4)
H 0.047 0.814 0.365 (multiplicity 4)
H 0.066 0.311 0.636 (multiplicity 4)
H 0.087 0.638 0.161 (multiplicity 4)
H 0.103 0.582 0.634 (multiplicity 4)
H 0.146 0.405 0.431 (multiplicity 4)
C 0.025 0.682 0.263 (multiplicity 4)
C 0.085 0.446 0.536 (multiplicity 4)
N 0.000 0.500 0.400 (multiplicity 2)
Cl 0.121 0.959 0.842 (multiplicity 4)
Cl 0.250 0.419 0.996 (multiplicity 2)
Cl 0.250 0.980 0.331 (multiplicity 2)

---

# 4
Entry from Alexandria: an optimized crystal structure of FeP2CCl (GGA-PBEsol).

a b c (Å): 4.164 4.164 4.699
angles (deg): 90.00 90.00 90.00
Space group P4/mmm (No. 123)
Symmetry-distinct sites (fractional):
Fe 0.000 0.000 0.000 (multiplicity 1)
P 0.000 0.500 0.000 (multiplicity 2)
C 0.500 0.500 0.500 (multiplicity 1)
Cl 0.000 0.000 0.500 (multiplicity 1)

Density of states at the Fermi level = 0.76 states/eV/atom
Formation energy from raw total energies = 1.57 eV per atom

---

The records above yield total energy values of -4.654, -3.212, -5.064, -4.873 eV/atom, respectively.